[1]
Here is a relaxed LiReHg2 crystal from the Alexandria database. Energies are from PBE.

a = 4.1478 Å, b = 4.1478 Å, c = 18.6553 Å
α = 90.00°, β = 90.00°, γ = 90.00°
Space group I-42d (No. 122)
One atom of each set of equivalent atoms:
Li 0.0000 0.0000 0.0000
Re 0.0000 0.0000 0.5000
Hg 0.2499 0.2500 0.1250

Properties
Energy relative to the elements: 0.989 eV/atom
Energy relative to the lowest polymorph listed for this composition: 664.9 meV/atom


[2]
Here is a relaxed Li2ReHg crystal from the Alexandria database. Energies are from PBE.

a = 2.6526 Å, b = 4.4578 Å, c = 5.5549 Å
α = 90.00°, β = 90.00°, γ = 90.00°
Space group Pmm2 (No. 25)
One atom of each set of equivalent atoms:
Li 0.0000 0.0000 0.0000
Li 0.5000 0.5000 0.2525
Re 0.0000 0.0000 0.4919
Hg 0.5000 0.5000 0.7373

Properties
Energy relative to the elements: 0.440 eV/atom


[3]
Here is a relaxed LiReHg2 crystal from the Alexandria database. Energies are from PBE.

a = 4.8894 Å, b = 4.8894 Å, c = 2.9360 Å
α = 90.00°, β = 90.00°, γ = 90.00°
Space group P4/mmm (No. 123)
One atom of each set of equivalent atoms:
Li 0.0000 0.0000 0.0000
Re 0.5000 0.5000 0.0000
Hg 0.0000 0.5000 0.5000

Properties
Energy relative to the elements: 0.324 eV/atom
Energy relative to the lowest polymorph listed for this composition: 0.0 meV/atom


[4]
Here is a relaxed Li2ReHg crystal from the Alexandria database. Energies are from PBE.

a = 6.9138 Å, b = 6.9138 Å, c = 5.4386 Å
α = 90.00°, β = 90.00°, γ = 90.00°
Space group I-42d (No. 122)
One atom of each set of equivalent atoms:
Li 0.2424 0.7500 0.1250
Re 0.0000 0.0000 0.5000
Hg 0.0000 0.0000 0.0000

Properties
Energy relative to the elements: 0.859 eV/atom


[5]
Here is a relaxed LiRe2Hg crystal from the Alexandria database. Energies are from PBE.

a = 2.8100 Å, b = 3.9612 Å, c = 5.8158 Å
α = 90.00°, β = 90.00°, γ = 90.00°
Space group Pmm2 (No. 25)
One atom of each set of equivalent atoms:
Li 0.0000 0.0000 0.0000
Re 0.0000 0.0000 0.4599
Re 0.5000 0.5000 0.2872
Hg 0.5000 0.5000 0.7911

Properties
Energy relative to the elements: 0.325 eV/atom


[6]
Here is a relaxed LiRe2Hg crystal from the Alexandria database. Energies are from PBE.

a = 3.6744 Å, b = 3.6744 Å, c = 20.1682 Å
α = 90.00°, β = 90.00°, γ = 90.00°
Space group I-42d (No. 122)
One atom of each set of equivalent atoms:
Li 0.0000 0.0000 0.0000
Re 0.2190 0.7500 0.1250
Hg 0.0000 0.0000 0.5000

Properties
Energy relative to the elements: 0.671 eV/atom